Arrangement one

DFT (GGA-PBEsol) results for Ba2BeSb after structural relaxation.

The calculation puts the size of the total moment at 0.34 μB per formula unit. The value obtained for the density of states at the Fermi level is 0.763 states/eV/atom. The space group is Imm2 (44). Its crystal system is orthorhombic.

```
Ba2BeSb
1.0
-1.013 -3.755 1.305
4.960 -0.667 1.931
-3.577 4.328 3.230
Ba Sb Be
2 1 1
direct
0.779 0.779 0.557
0.976 0.476 0.951
0.187 0.187 0.374
0.558 0.058 0.117
```

Arrangement two

DFT (GGA-PBEsol) results for Ba2BeSb after structural relaxation.

The calculation puts the size of the total moment at 1.00 μB per formula unit. The value obtained for the density of states at the Fermi level is 0.396 states/eV/atom. The space group is I-42d (122). Its crystal system is tetragonal.

```
Ba2BeSb
1.0
-4.060 -0.561 -4.595
-0.922 -5.891 1.533
-4.710 5.923 7.563
Ba Sb Be
4 2 2
direct
0.625 0.611 0.750
0.125 0.139 0.750
0.389 0.875 0.250
0.861 0.375 0.250
0.000 0.000 0.000
0.250 0.750 0.500
0.750 0.250 0.500
0.500 0.500 0.000
```

Arrangement three

DFT (GGA-PBEsol) results for Ba2BeSb after structural relaxation.

The calculation puts the size of the total moment at 0.00 μB per formula unit. The value obtained for the density of states at the Fermi level is 1.019 states/eV/atom. The space group is Cmm2 (35). Its crystal system is orthorhombic.

```
Ba2BeSb
1.0
-1.006 0.724 -3.758
3.016 -2.552 0.231
-6.421 -7.566 0.261
Ba Be Sb
2 1 1
direct
0.500 0.500 0.670
0.000 0.000 0.075
0.000 0.000 0.432
0.500 0.500 0.322
```

Result of the stability comparison: arrangement one is the most stable of them.

Arrangement one

DFT (GGA-PBEsol) results for Ba2BeTe after structural relaxation.

The calculation puts the size of the total moment at 0.00 μB per formula unit. The value obtained for the density of states at the Fermi level is 0.614 states/eV/atom. The space group is P4/mmm (123). Its crystal system is tetragonal.

```
Ba2BeTe
1.0
4.173 0.000 0.000
0.000 4.173 0.000
0.000 0.000 7.799
Ba Te Be
2 1 1
direct
0.000 0.000 0.757
0.000 0.000 0.243
0.500 0.500 0.500
0.500 0.500 0.000
```

Arrangement two

DFT (GGA-PBEsol) results for Ba2BeTe after structural relaxation.

The calculation puts the size of the total moment at 1.00 μB per formula unit. The value obtained for the density of states at the Fermi level is 1.106 states/eV/atom. The space group is R-3m (166). Its crystal system is trigonal.

```
Ba2BeTe
1.0
4.717 0.000 0.000
-2.358 4.085 -0.033
0.000 -2.655 8.400
Be Ba Te
1 2 1
direct
0.000 0.000 0.500
0.249 0.499 0.249
0.751 0.501 0.751
0.500 0.000 0.000
```

Result of the stability comparison: arrangement one is the most stable of them.

Arrangement one

DFT (GGA-PBEsol) results for Ba2BeTl after structural relaxation.

The calculation puts the size of the total moment at 0.00 μB per formula unit. The value obtained for the density of states at the Fermi level is 0.694 states/eV/atom. The space group is Fm-3m (225). Its crystal system is cubic.

```
Ba2BeTl
1.0
5.756 0.000 0.000
2.878 4.985 0.000
2.878 1.662 4.700
Ba Be Tl
2 1 1
direct
0.750 0.750 0.750
0.250 0.250 0.250
0.000 0.000 0.000
0.500 0.500 0.500
```

Arrangement two

DFT (GGA-PBEsol) results for Ba2BeTl after structural relaxation.

The calculation puts the size of the total moment at 0.00 μB per formula unit. The value obtained for the density of states at the Fermi level is 0.927 states/eV/atom. The space group is R-3m (166). Its crystal system is trigonal.

```
Ba2BeTl
1.0
-0.132 2.402 -3.398
-1.085 -1.642 -3.669
-9.845 2.355 -0.505
Be Ba Tl
1 2 1
direct
0.500 0.500 0.500
0.242 0.242 0.273
0.758 0.758 0.727
0.000 0.000 0.000
```

Arrangement three

DFT (GGA-PBEsol) results for Ba2BeTl after structural relaxation.

The calculation puts the size of the total moment at 0.00 μB per formula unit. The value obtained for the density of states at the Fermi level is 0.749 states/eV/atom. The space group is Imm2 (44). Its crystal system is orthorhombic.

```
Ba2BeTl
1.0
-0.844 -1.238 -3.660
-4.261 -3.235 2.076
-0.925 6.422 0.177
Be Ba Tl
1 2 1
direct
0.545 0.045 0.091
0.793 0.793 0.586
0.974 0.474 0.947
0.188 0.188 0.376
```

Result of the stability comparison: arrangement three is the most stable of them.

Arrangement one

DFT (GGA-PBEsol) results for BaBeW after structural relaxation.

The calculation puts the size of the total moment at 2.01 μB per formula unit. The value obtained for the density of states at the Fermi level is 0.344 states/eV/atom. The space group is F-43m (216). Its crystal system is cubic.

```
BaBeW
1.0
-3.252 -2.280 2.416
0.651 -0.881 4.518
-2.525 2.245 3.193
Ba Be W
1 1 1
direct
0.000 0.000 0.000
0.500 0.500 0.500
0.250 0.250 0.250
```

Arrangement two

DFT (GGA-PBEsol) results for BaBeW after structural relaxation.

The calculation puts the size of the total moment at 0.00 μB per formula unit. The value obtained for the density of states at the Fermi level is 0.889 states/eV/atom. The space group is P-6m2 (187). Its crystal system is hexagonal.

```
BaBeW
1.0
-0.782 -0.384 -2.885
-3.489 -3.076 1.355
-0.955 4.735 -0.372
W Ba Be
1 1 1
direct
0.000 0.667 0.333
0.500 0.000 0.000
0.000 0.333 0.667
```

Result of the stability comparison: arrangement two is the most stable of them.